The following is a DFT calculation (meta-GGA SCAN) of a crystal of Cs3Li2I5 relaxed with PBEsol.

- formation energy from raw total energies (eV/atom) = -1.574
- E_tot (eV/atom) = -31.766
- theoretical density (Mg/m³) = 4.15

a = 4.7454 Å, b = 12.0289 Å, c = 15.1331 Å
α = 100.37°, β = 99.02°, γ = 90.00°
With the nearest neighbours (Å) after each atom.
Sites, in units of the cell vectors:
I 0.1785 0.8996 0.3570  2 Li 2.78
I 0.5514 0.8945 0.1028  1 Li 2.73
I 0.1786 0.5159 0.3573  2 Li 2.79
I 0.8215 0.1004 0.6430  2 Li 2.78
I 0.5499 0.4040 0.0997  1 Li 2.73
I 0.6567 0.1991 0.3133  2 Li 2.74-2.75
I 0.4486 0.1055 0.8972  1 Li 2.73
I 0.3433 0.8009 0.6867  2 Li 2.74-2.75
I 0.4501 0.5960 0.9003  1 Li 2.73
I 0.8214 0.4841 0.6427  2 Li 2.79
Cs 0.0558 0.1528 0.1117  8 I 3.80-3.94
Cs 0.2540 0.2597 0.5080  7 I 3.72-4.14
Cs 0.9442 0.8472 0.8883  8 I 3.80-3.94
Cs 0.9324 0.3440 0.8648  8 I 3.81-4.19
Cs 0.0676 0.6560 0.1352  8 I 3.81-4.19
Cs 0.7460 0.7403 0.4920  7 I 3.72-4.14
Li 0.6420 0.4171 0.2841  4 I 2.73-2.79
Li 0.3567 0.0330 0.7135  4 I 2.73-2.78
Li 0.3580 0.5829 0.7159  4 I 2.73-2.79
Li 0.6433 0.9670 0.2865  4 I 2.73-2.78

***

The following is a DFT calculation (meta-GGA SCAN) of a crystal of Cs3LiI relaxed with PBEsol.

- formation energy from raw total energies (eV/atom) = -0.287
- E_tot (eV/atom) = -30.799
- theoretical density (Mg/m³) = 2.46

a = 7.1123 Å, b = 7.1123 Å, c = 7.1123 Å
α = 90.00°, β = 90.00°, γ = 90.00°
With the nearest neighbours (Å) after each atom.
Sites, in units of the cell vectors:
I 0.5000 0.5000 0.5000  12 Cs 5.03
Cs 0.0000 0.0000 0.5000  2 Li 3.56
Cs 0.5000 0.0000 0.0000  2 Li 3.56
Cs 0.0000 0.5000 0.0000  2 Li 3.56
Li 0.0000 0.0000 0.0000  6 Cs 3.56

***

The following is a DFT calculation (meta-GGA SCAN) of a crystal of CsLiI2 relaxed with PBEsol.

- formation energy from raw total energies (eV/atom) = -1.526
- E_tot (eV/atom) = -29.947
- theoretical density (Mg/m³) = 4.21

a = 4.5751 Å, b = 10.4353 Å, c = 13.3404 Å
α = 90.00°, β = 90.00°, γ = 102.66°
With the nearest neighbours (Å) after each atom.
Sites, in units of the cell vectors:
Cs 0.6553 0.3106 0.0148  8 I 3.83-3.89, 1 Li 4.22
Cs 0.3447 0.6894 0.5148  8 I 3.83-3.89, 1 Li 4.22
Cs 0.5105 0.0211 0.7375  8 I 3.87-4.13, 1 Li 4.34
Cs 0.4895 0.9789 0.2375  8 I 3.87-4.13, 1 Li 4.34
I 0.1440 0.2880 0.2444  2 Li 2.73-2.78
I 0.8560 0.7120 0.7444  2 Li 2.73-2.78
I 0.3077 0.6155 0.0168  3 Li 2.73-2.77
I 0.1611 0.3221 0.7829  2 Li 2.76
I 0.9988 0.9976 0.4949  1 Li 2.71
I 0.6923 0.3845 0.5168  3 Li 2.73-2.77
I 0.8389 0.6779 0.2829  2 Li 2.76
I 0.0012 0.0024 0.9949  1 Li 2.71
Li 0.2770 0.5539 0.2159  4 I 2.73-2.76
Li 0.7230 0.4461 0.7159  4 I 2.73-2.76
Li 0.8711 0.7422 0.9511  4 I 2.71-2.78
Li 0.1289 0.2578 0.4511  4 I 2.71-2.78

***

The following is a DFT calculation (meta-GGA SCAN) of a crystal of Cs2LiMoI6 relaxed with PBEsol.

- formation energy from raw total energies (eV/atom) = -1.062
- E_tot (eV/atom) = -34.396
- theoretical density (Mg/m³) = 5.02

a = 8.0865 Å, b = 8.0865 Å, c = 8.0865 Å
α = 60.00°, β = 60.00°, γ = 60.00°
With the nearest neighbours (Å) after each atom.
Sites, in units of the cell vectors:
I 0.7572 0.7572 0.2428  1 Mo 2.78, 1 Li 2.94
I 0.2428 0.2428 0.7572  1 Mo 2.78, 1 Li 2.94
I 0.7572 0.2428 0.2428  1 Mo 2.78, 1 Li 2.94
I 0.2428 0.7572 0.2428  1 Mo 2.78, 1 Li 2.94
I 0.7572 0.2428 0.7572  1 Mo 2.78, 1 Li 2.94
I 0.2428 0.7572 0.7572  1 Mo 2.78, 1 Li 2.94
Mo 0.0000 0.0000 0.0000  6 I 2.78
Cs 0.7500 0.7500 0.7500  12 I 4.04
Cs 0.2500 0.2500 0.2500  12 I 4.04
Li 0.5000 0.5000 0.5000  6 I 2.94